A plane-wave DFT calculation with GGA-PBE was carried out for an optimized crystal structure of K2BeSb.

Unit cell a=12.153 b=4.229 c=5.900 alpha=90.00 beta=118.42 gamma=90.00
Atoms (fractional coordinates):
K 0.000 0.000 0.000
K 0.177 0.000 0.685
K 0.500 0.500 0.000
K 0.677 0.500 0.685
Be 0.391 0.000 0.425
Be 0.891 0.500 0.425
Sb 0.290 0.500 0.289
Sb 0.790 0.000 0.289

- ΔE_f (raw) (eV/atom) = -0.0086